(1)
UAs12Ru4: relaxed, PBE-GGA.

Lattice parameters (Å, degrees): 7.428 7.428 7.428 109.47 109.47 109.47
Each line ends with the local moment (μB).
Atoms (fractional coordinates):
U (0.000, 0.000, 0.000)  2.30
As (0.850, 0.345, 0.196)  -0.01
As (0.345, 0.495, 0.150)  -0.01
As (0.804, 0.150, 0.655)  -0.01
As (0.345, 0.196, 0.850)  -0.01
As (0.196, 0.850, 0.345)  -0.01
As (0.655, 0.505, 0.850)  -0.01
As (0.495, 0.150, 0.345)  -0.01
As (0.505, 0.850, 0.655)  -0.01
As (0.655, 0.804, 0.150)  -0.01
As (0.850, 0.655, 0.505)  -0.01
As (0.150, 0.345, 0.495)  -0.01
As (0.150, 0.655, 0.804)  -0.01
Ru (0.000, 0.500, 0.000)  -0.06
Ru (0.500, 0.000, 0.000)  -0.06
Ru (0.500, 0.500, 0.500)  -0.06
Ru (0.000, 0.000, 0.500)  -0.06

ΔH_f (0 K) in eV/atom: -0.379
V in Å³ per cell: 315.5
Electronic total energy in eV/atom: -6.51



(2)
Zr3B2Ru5: relaxed, PBE-GGA.

Lattice parameters (Å, degrees): 3.141 9.582 9.582 90.00 90.00 90.00
Atoms (fractional coordinates):
Zr (0.000, 0.325, 0.825)
Zr (0.000, 0.675, 0.175)
Zr (0.000, 0.175, 0.325)
Zr (0.000, 0.825, 0.675)
Zr (0.000, 0.000, 0.000)
Zr (0.000, 0.500, 0.500)
B (0.000, 0.121, 0.621)
B (0.000, 0.879, 0.379)
B (0.000, 0.379, 0.121)
B (0.000, 0.621, 0.879)
Ru (0.500, 0.222, 0.072)
Ru (0.500, 0.778, 0.928)
Ru (0.500, 0.928, 0.222)
Ru (0.500, 0.072, 0.778)
Ru (0.500, 0.278, 0.572)
Ru (0.500, 0.722, 0.428)
Ru (0.500, 0.572, 0.722)
Ru (0.500, 0.428, 0.278)
Ru (0.500, 0.000, 0.500)
Ru (0.500, 0.500, 0.000)

ΔH_f (0 K) in eV/atom: -0.610
V in Å³ per cell: 288.4
Electronic total energy in eV/atom: -9.15



(3)
Zn3SnAu2: relaxed, PBE-GGA.

Lattice parameters (Å, degrees): 3.843 9.339 10.494 110.40 90.00 101.87
Atoms (fractional coordinates):
Zn (0.041, 0.082, 0.354)
Zn (0.959, 0.918, 0.646)
Zn (0.207, 0.414, 0.402)
Zn (0.793, 0.586, 0.598)
Zn (0.613, 0.226, 0.223)
Zn (0.387, 0.774, 0.777)
Zn (0.500, 0.000, 0.500)
Zn (0.305, 0.610, 0.031)
Zn (0.695, 0.390, 0.969)
Sn (0.149, 0.298, 0.726)
Sn (0.851, 0.702, 0.274)
Sn (0.000, 0.000, 0.000)
Au (0.186, 0.372, 0.138)
Au (0.814, 0.628, 0.862)
Au (0.456, 0.912, 0.184)
Au (0.544, 0.088, 0.816)
Au (0.359, 0.717, 0.496)
Au (0.641, 0.283, 0.504)

ΔH_f (0 K) in eV/atom: -0.100
V in Å³ per cell: 344.4
Electronic total energy in eV/atom: -2.50



(4)
Pr2SmEr12: relaxed, PBE-GGA.

Lattice parameters (Å, degrees): 6.631 6.631 24.634 96.70 96.70 115.23
Atoms (fractional coordinates):
Pr (0.461, 0.961, 0.281)
Pr (0.961, 0.461, 0.280)
Pr (0.039, 0.539, 0.719)
Pr (0.539, 0.039, 0.720)
Sm (0.500, 0.000, 0.000)
Sm (0.000, 0.500, 0.000)
Er (0.605, 0.605, 0.808)
Er (0.105, 0.105, 0.808)
Er (0.950, 0.949, 0.933)
Er (0.147, 0.647, 0.864)
Er (0.998, 0.998, 0.330)
Er (0.353, 0.853, 0.136)
Er (0.677, 0.177, 0.570)
Er (0.498, 0.498, 0.330)
Er (0.449, 0.450, 0.933)
Er (0.550, 0.551, 0.067)
Er (0.166, 0.167, 0.555)
Er (0.823, 0.323, 0.430)
Er (0.002, 0.002, 0.670)
Er (0.334, 0.333, 0.445)
Er (0.051, 0.050, 0.067)
Er (0.833, 0.834, 0.445)
Er (0.667, 0.666, 0.555)
Er (0.895, 0.895, 0.192)
Er (0.178, 0.678, 0.570)
Er (0.502, 0.502, 0.670)
Er (0.647, 0.147, 0.865)
Er (0.395, 0.395, 0.192)
Er (0.322, 0.822, 0.430)
Er (0.853, 0.353, 0.135)

ΔH_f (0 K) in eV/atom: 0.104
V in Å³ per cell: 956.3
Electronic total energy in eV/atom: -4.50



(5)
TlFeP: relaxed, PBE-GGA.

Lattice parameters (Å, degrees): 6.515 6.516 2.922 77.01 77.01 25.92
Atoms (fractional coordinates):
Fe (0.963, 0.963, 0.037)
P (0.383, 0.384, 0.617)
Tl (0.654, 0.653, 0.346)

ΔH_f (0 K) in eV/atom: 0.199
Polymorph energy (0 for the lowest one) in eV per formula unit: 1.39
V in Å³ per cell: 52.8
Electronic total energy in eV/atom: -5.21



(6)
TbPr3Dy6Th2: relaxed, PBE-GGA.

Lattice parameters (Å, degrees): 6.233 6.233 11.832 95.05 95.05 119.97
Atoms (fractional coordinates):
Tb (0.000, 0.000, 0.000)
Pr (0.166, 0.834, 0.500)
Pr (0.834, 0.166, 0.500)
Pr (0.500, 0.500, 0.500)
Dy (0.919, 0.581, 0.756)
Dy (0.744, 0.744, 0.244)
Dy (0.081, 0.419, 0.244)
Dy (0.581, 0.919, 0.756)
Dy (0.256, 0.256, 0.756)
Dy (0.419, 0.081, 0.244)
Th (0.333, 0.667, 0.000)
Th (0.667, 0.333, 0.000)

ΔH_f (0 K) in eV/atom: 0.020
V in Å³ per cell: 391.9
Electronic total energy in eV/atom: -5.10



(7)
La3Pb2: relaxed, PBE-GGA.

Lattice parameters (Å, degrees): 7.018 7.018 7.018 46.17 46.17 46.17
Atoms (fractional coordinates):
La (0.000, 0.000, 0.000)
La (0.794, 0.794, 0.794)
La (0.206, 0.206, 0.206)
Pb (0.408, 0.408, 0.408)
Pb (0.592, 0.592, 0.592)

ΔH_f (0 K) in eV/atom: -0.473
V in Å³ per cell: 164.1
Electronic total energy in eV/atom: -4.91



(8)
La2PrY2Er: relaxed, PBE-GGA.

Lattice parameters (Å, degrees): 3.438 6.684 18.405 90.00 90.00 90.00
Atoms (fractional coordinates):
La (0.500, 0.275, 0.314)
La (0.000, 0.775, 0.186)
La (0.500, 0.725, 0.686)
La (0.000, 0.225, 0.814)
Pr (0.500, 0.500, 0.000)
Pr (0.000, 0.000, 0.500)
Y (0.500, 0.777, 0.355)
Y (0.500, 0.223, 0.645)
Y (0.000, 0.723, 0.855)
Y (0.000, 0.277, 0.145)
Er (0.000, 0.000, 0.000)
Er (0.500, 0.500, 0.500)

ΔH_f (0 K) in eV/atom: 0.263
V in Å³ per cell: 422.9
Electronic total energy in eV/atom: -5.09



(9)
ScSn2RuF: relaxed, PBE-GGA.

Lattice parameters (Å, degrees): 5.270 3.974 5.270 90.00 90.00 90.00
Each line ends with the local moment (μB).
Atoms (fractional coordinates):
Sc (0.500, 0.500, 0.500)  0.18
Ru (0.000, 0.000, 0.000)  0.64
Sn (0.000, 0.000, 0.500)  -0.01
Sn (0.500, 0.000, 0.000)  0.00
F (0.000, 0.500, 0.000)  0.06

V in Å³ per cell: 110.4
Electronic total energy in eV/atom: -5.34



(10)
TaCI: relaxed, PBE-GGA.

Lattice parameters (Å, degrees): 3.353 3.923 11.080 84.56 83.67 64.82
Atoms (fractional coordinates):
I (0.233, 0.693, 0.120)
I (0.197, 0.306, 0.755)
C (0.881, 0.216, 0.369)
C (0.988, 0.925, 0.477)
Ta (0.604, 0.803, 0.324)
Ta (0.278, 0.323, 0.507)

V in Å³ per cell: 130.9
Electronic total energy in eV/atom: -7.59



(11)
Pm2Zn5Ag4: relaxed, PBE-GGA.

Lattice parameters (Å, degrees): 5.517 5.378 9.110 81.07 72.38 59.14
Atoms (fractional coordinates):
Pm (0.875, 0.000, 0.249)
Pm (0.125, 0.000, 0.751)
Zn (0.500, 0.000, 0.000)
Zn (0.000, 0.500, 0.000)
Zn (0.500, 0.500, 0.000)
Zn (0.250, 0.500, 0.500)
Zn (0.750, 0.500, 0.500)
Ag (0.471, 0.319, 0.739)
Ag (0.529, 0.681, 0.261)
Ag (0.210, 0.319, 0.261)
Ag (0.790, 0.681, 0.739)

ΔH_f (0 K) in eV/atom: -0.224
V in Å³ per cell: 221.1
Electronic total energy in eV/atom: -2.70



(12)
La2TbAs4Pd3: relaxed, PBE-GGA.

Lattice parameters (Å, degrees): 4.499 4.499 10.852 90.00 90.00 90.00
Atoms (fractional coordinates):
La (0.500, 0.000, 0.215)
La (0.000, 0.500, 0.785)
Tb (0.500, 0.500, 0.500)
As (0.500, 0.500, 0.000)
As (0.000, 0.000, 0.000)
As (0.500, 0.000, 0.655)
As (0.000, 0.500, 0.345)
Pd (0.000, 0.000, 0.500)
Pd (0.500, 0.000, 0.888)
Pd (0.000, 0.500, 0.112)

ΔH_f (0 K) in eV/atom: -1.014
V in Å³ per cell: 219.7
Electronic total energy in eV/atom: -5.88



(13)
ZrScSb2: relaxed, PBE-GGA.

Lattice parameters (Å, degrees): 4.142 4.142 5.876 90.00 90.00 90.00
Atoms (fractional coordinates):
Sc (0.000, 0.000, 0.376)
Sb (0.000, 0.000, 0.876)
Sb (0.500, 0.500, 0.374)
Zr (0.500, 0.500, 0.874)

Polymorph energy (0 for the lowest one) in eV per formula unit: 0.02
V in Å³ per cell: 100.8
Electronic total energy in eV/atom: -6.54



(14)
CaPm4Dy5: relaxed, PBE-GGA.

Lattice parameters (Å, degrees): 3.629 3.629 25.489 90.00 90.00 90.00
Atoms (fractional coordinates):
Ca (0.000, 0.000, 0.000)
Pm (0.000, 0.000, 0.203)
Pm (0.000, 0.000, 0.401)
Pm (0.000, 0.000, 0.599)
Pm (0.000, 0.000, 0.797)
Dy (0.500, 0.500, 0.109)
Dy (0.500, 0.500, 0.303)
Dy (0.500, 0.500, 0.500)
Dy (0.500, 0.500, 0.697)
Dy (0.500, 0.500, 0.891)

ΔH_f (0 K) in eV/atom: 0.038
V in Å³ per cell: 335.6
Electronic total energy in eV/atom: -4.36



(15)
CsBa4Cr2: relaxed, PBE-GGA.

Lattice parameters (Å, degrees): 6.825 6.825 9.219 68.28 68.28 90.00
Atoms (fractional coordinates):
Cs (0.000, 0.000, 0.000)
Cr (0.556, 0.556, 0.889)
Cr (0.444, 0.444, 0.111)
Ba (0.763, 0.763, 0.475)
Ba (0.237, 0.237, 0.525)
Ba (0.000, 0.500, 0.000)
Ba (0.500, 0.000, 0.000)

ΔH_f (0 K) in eV/atom: 0.921
V in Å³ per cell: 365.8
Electronic total energy in eV/atom: -3.05



(16)
Ba4AlRe: relaxed, PBE-GGA.

Lattice parameters (Å, degrees): 6.975 6.975 6.975 60.00 60.00 60.00
Each line ends with the local moment (μB).
Atoms (fractional coordinates):
Ba (0.874, 0.375, 0.375)  0.12
Ba (0.375, 0.375, 0.874)  0.12
Ba (0.375, 0.874, 0.375)  0.12
Ba (0.375, 0.375, 0.375)  0.12
Al (0.000, 0.000, 0.000)  0.01
Re (0.750, 0.750, 0.750)  -2.87

ΔH_f (0 K) in eV/atom: 1.332
V in Å³ per cell: 239.9
Electronic total energy in eV/atom: -2.65



(17)
AlSbAs: relaxed, PBE-GGA.

Lattice parameters (Å, degrees): 4.091 4.091 33.299 90.00 90.00 120.00
Atoms (fractional coordinates):
Sb (0.000, 0.000, 0.924)
Sb (0.333, 0.667, 0.591)
Sb (0.667, 0.333, 0.257)
Sb (0.000, 0.000, 0.207)
Sb (0.333, 0.667, 0.874)
Sb (0.667, 0.333, 0.540)
As (0.000, 0.000, 0.768)
As (0.333, 0.667, 0.435)
As (0.667, 0.333, 0.101)
As (0.000, 0.000, 0.333)
As (0.333, 0.667, 0.000)
As (0.667, 0.333, 0.667)
Al (0.000, 0.000, 0.691)
Al (0.333, 0.667, 0.358)
Al (0.667, 0.333, 0.025)
Al (0.000, 0.000, 0.124)
Al (0.333, 0.667, 0.790)
Al (0.667, 0.333, 0.457)

V in Å³ per cell: 482.7
Electronic total energy in eV/atom: -4.34



(18)
HfBe17Ru: relaxed, PBE-GGA.

Lattice parameters (Å, degrees): 5.552 5.552 5.552 83.14 83.14 83.14
Atoms (fractional coordinates):
Hf (0.341, 0.341, 0.341)
Be (0.301, 0.993, 0.707)
Be (0.707, 0.301, 0.993)
Be (0.993, 0.707, 0.301)
Be (0.301, 0.707, 0.993)
Be (0.993, 0.301, 0.707)
Be (0.707, 0.993, 0.301)
Be (0.353, 0.832, 0.353)
Be (0.353, 0.353, 0.832)
Be (0.832, 0.353, 0.353)
Be (0.655, 0.141, 0.655)
Be (0.655, 0.655, 0.141)
Be (0.141, 0.655, 0.655)
Be (0.008, 0.493, 0.008)
Be (0.008, 0.008, 0.493)
Be (0.493, 0.008, 0.008)
Be (0.898, 0.898, 0.898)
Be (0.095, 0.095, 0.095)
Ru (0.666, 0.666, 0.666)

ΔH_f (0 K) in eV/atom: -0.190
V in Å³ per cell: 167.8
Electronic total energy in eV/atom: -4.54



(19)
Ti6BAs2: relaxed, PBE-GGA.

Lattice parameters (Å, degrees): 5.539 5.539 10.722 90.00 90.00 90.00
Atoms (fractional coordinates):
Ti (0.310, 0.310, 0.355)
Ti (0.690, 0.690, 0.355)
Ti (0.190, 0.810, 0.855)
Ti (0.810, 0.190, 0.855)
Ti (0.190, 0.810, 0.145)
Ti (0.810, 0.190, 0.145)
Ti (0.310, 0.310, 0.645)
Ti (0.690, 0.690, 0.645)
Ti (0.276, 0.276, 0.000)
Ti (0.724, 0.724, 0.000)
Ti (0.224, 0.776, 0.500)
Ti (0.776, 0.224, 0.500)
B (0.000, 0.000, 0.000)
B (0.500, 0.500, 0.500)
As (0.000, 0.000, 0.332)
As (0.500, 0.500, 0.832)
As (0.500, 0.500, 0.168)
As (0.000, 0.000, 0.668)

ΔH_f (0 K) in eV/atom: -0.314
V in Å³ per cell: 328.9
Electronic total energy in eV/atom: -7.35



(20)
CaAc4La4: relaxed, PBE-GGA.

Lattice parameters (Å, degrees): 5.496 8.647 8.647 84.20 71.47 71.47
Atoms (fractional coordinates):
Ca (0.000, 0.000, 0.000)
Ac (0.331, 0.339, 0.000)
Ac (0.669, 0.661, 0.000)
Ac (0.669, 0.000, 0.661)
Ac (0.331, 0.000, 0.339)
La (0.000, 0.657, 0.343)
La (0.000, 0.343, 0.657)
La (0.657, 0.343, 0.343)
La (0.343, 0.657, 0.657)

ΔH_f (0 K) in eV/atom: 0.020
V in Å³ per cell: 369.5
Electronic total energy in eV/atom: -4.22